No. 1
Computed, not measured: a relaxed B3C crystal at the PBE level of DFT.

The structure in extended XYZ format:
```
12
Lattice="-2.722 3.878 -3.765 4.960 -2.344 0.003 -2.728 -2.487 -1.836" Properties=species:S:1:pos:R:3 pbc="T T T"
B -2.684 -0.712 -3.782
B -1.348 -1.113 -2.737
B -2.659 1.048 -4.057
B 1.402 1.125 -4.004
B 1.052 -2.341 -2.339
B 0.267 0.088 -1.476
B 3.586 -1.508 -1.425
C -2.312 0.350 -2.611
C 0.237 -1.000 -2.696
C 0.951 -0.459 -3.999
B -4.878 1.736 -5.291
B -2.005 0.045 -5.252
```

Summary:
E_form (kJ/mol of atoms): 28
Distance to the lowest polymorph of the same formula (eV/atom): 0.051
Uncorrected energy (eV per atom): -7.022


No. 2
Computed, not measured: a relaxed BC crystal at the PBE level of DFT.

The structure in extended XYZ format:
```
12
Lattice="-0.292 0.030 -2.541 0.314 -4.018 -0.083 -7.872 -0.612 0.897" Properties=species:S:1:pos:R:3 pbc="T T T"
B -1.256 -2.322 -1.170
C -6.557 -2.493 -0.564
B -4.131 -1.305 0.459
C -2.580 -3.223 -1.029
B -1.971 -3.890 0.181
B -1.183 -1.142 0.123
C -7.657 -3.523 -0.449
C -6.469 -1.604 0.724
B -3.957 -2.491 -0.862
B -7.512 -4.515 0.810
C -5.079 -4.370 0.532
C -5.272 -3.456 -0.722
```

Summary:
E_form (kJ/mol of atoms): 43
Distance to the lowest polymorph of the same formula (eV/atom): 0.299
Uncorrected energy (eV per atom): -7.501


No. 3
Computed, not measured: a relaxed BC crystal at the PBE level of DFT.

The structure in extended XYZ format:
```
12
Lattice="0.516 4.532 -1.370 -1.706 3.729 -2.423 -3.053 -0.861 7.101" Properties=species:S:1:pos:R:3 pbc="T T T"
C -1.005 2.757 0.018
B -0.817 1.325 0.713
C -1.796 3.806 0.886
B -2.325 0.855 4.254
C -2.690 7.734 -0.225
C -2.376 2.181 3.350
B -1.204 6.618 -2.510
C -3.167 3.231 4.218
C -2.672 6.515 0.667
B -1.847 5.132 -0.018
B -3.355 4.663 3.523
B -2.968 -0.631 6.746
```

Summary:
E_form (kJ/mol of atoms): 42
Distance to the lowest polymorph of the same formula (eV/atom): 0.283
Uncorrected energy (eV per atom): -7.517


No. 4
Computed, not measured: a relaxed B7C5 crystal at the PBE level of DFT.

The structure in extended XYZ format:
```
12
Lattice="3.849 -0.060 -2.370 3.043 2.357 -2.370 -0.230 -0.077 9.023" Properties=species:S:1:pos:R:3 pbc="T T T"
B 4.730 1.577 -0.290
B 3.048 1.016 1.282
C 1.079 0.360 1.127
B 5.476 1.825 -3.263
C 5.606 1.869 1.017
B 6.770 2.257 -4.643
B 1.103 0.368 5.286
C 6.640 2.213 -0.165
B 3.395 1.132 5.362
C 2.183 0.728 0.035
C 2.255 0.752 4.238
B 4.750 1.583 4.208
```

Summary:
E_form (kJ/mol of atoms): 38
Distance to the lowest polymorph of the same formula (eV/atom): 0.231
Uncorrected energy (eV per atom): -7.343


No. 5
Computed, not measured: a relaxed BC crystal at the PBE level of DFT.

The structure in extended XYZ format:
```
12
Lattice="1.237 -4.357 -0.104 2.290 -3.427 1.881 -7.748 2.011 3.167" Properties=species:S:1:pos:R:3 pbc="T T T"
B -3.997 -3.688 3.849
C -0.530 -6.677 3.410
C 2.510 -6.404 1.670
B -4.863 -2.183 3.603
C -0.009 -2.258 1.063
C -1.336 -5.386 3.233
B -1.014 -1.025 1.018
B -1.249 -2.963 2.051
C -4.717 0.026 2.490
B -0.383 -4.468 2.297
B -4.232 -5.626 4.882
C -3.911 -1.265 2.667
```

Summary:
E_form (kJ/mol of atoms): 43
Distance to the lowest polymorph of the same formula (eV/atom): 0.291
Uncorrected energy (eV per atom): -7.508


No. 6
Computed, not measured: a relaxed BC crystal at the PBE level of DFT.

The structure in extended XYZ format:
```
12
Lattice="-2.227 -1.539 -3.271 -0.970 -2.198 3.585 -2.106 4.515 0.746" Properties=species:S:1:pos:R:3 pbc="T T T"
B -2.678 0.169 0.443
B -2.279 1.531 1.814
B -3.679 2.781 -0.428
C -4.140 -0.480 0.724
C -2.284 0.147 2.762
C -3.043 0.641 -1.737
C -2.673 1.553 -0.504
B -1.277 -1.082 2.685
C -1.508 -0.891 0.179
B -4.297 2.715 -2.325
C -1.343 -1.924 1.332
B -2.886 -2.554 1.311
```

Summary:
E_form (kJ/mol of atoms): 39
Distance to the lowest polymorph of the same formula (eV/atom): 0.252
Uncorrected energy (eV per atom): -7.548


No. 7
Computed, not measured: a relaxed BC crystal at the PBE level of DFT.

The structure in extended XYZ format:
```
12
Lattice="6.610 0.228 -1.130 6.016 2.748 -1.130 0.053 0.013 4.762" Properties=species:S:1:pos:R:3 pbc="T T T"
C 8.318 1.961 0.112
C 7.559 1.782 -1.132
B 0.315 0.074 -0.007
B 2.957 0.697 1.292
B 4.445 1.048 2.752
C 2.973 0.701 3.411
C 8.431 1.987 2.387
B 0.119 0.028 2.478
B 3.991 0.941 -0.071
C 11.653 2.747 1.511
C 7.431 1.752 1.268
B 11.528 2.717 -1.433
```

Summary:
E_form (kJ/mol of atoms): 35
Distance to the lowest polymorph of the same formula (eV/atom): 0.212
Uncorrected energy (eV per atom): -7.588


No. 8
Computed, not measured: a relaxed B7C crystal at the PBE level of DFT.

The structure in extended XYZ format:
```
8
Lattice="-3.404 -1.700 1.225 0.039 -2.389 -3.205 2.095 -2.717 2.051" Properties=species:S:1:pos:R:3 pbc="T T T"
B 0.260 -4.800 0.949
B 0.730 -3.060 1.044
B -2.183 -4.348 0.582
C -0.953 -5.105 0.054
B -2.020 -2.551 0.631
B -0.298 -2.896 -1.584
B -1.235 -6.617 0.070
B -0.653 -4.654 -1.386
```

Summary:
E_form (kJ/mol of atoms): 69
Distance to the lowest polymorph of the same formula (eV/atom): 0.387
Uncorrected energy (eV per atom): -6.279